This record from OQMD via LeMat-Bulk describes a relaxed structure of BaCuPd. The functional is PBE.

Cell: 4.876 4.876 4.876 Å, 60.00 60.00 60.00°
Element x y z (fractional)
Cu 0.000 0.000 0.000
Ba 0.250 0.250 0.250
Pd 0.750 0.750 0.750

Summary:
symmetry: F-43m
crystal system: cubic
total energy: -3.58 eV/atom